## Ce3Pm4NpN8 (GGA-PBE)

Data for crystalline Ce3Pm4NpN8 at its relaxed geometry.

Lattice parameters (Å, degrees): 7.1376 7.1376 7.1376 59.96 59.96 59.96
With the nearest neighbours (Å) after each atom.
Element x y z (fractional)
Ce  0.0000  0.5000  0.5000  6 N 2.48-2.49
Ce  0.5000  0.0000  0.5000  6 N 2.48-2.49
Ce  0.5000  0.5000  0.0000  6 N 2.48-2.49
Pm  0.0000  0.0000  0.5000  6 N 2.56-2.57
Pm  0.0000  0.5000  0.0000  6 N 2.56-2.57
Pm  0.5000  0.0000  0.0000  6 N 2.56-2.57
Pm  0.5000  0.5000  0.5000  6 N 2.65
Np  0.0000  0.0000  0.0000  6 N 2.39
N  0.2372  0.2372  0.7563  1 Np 2.39, 2 Ce 2.49, 3 Pm 2.56-2.65
N  0.2372  0.7563  0.2372  1 Np 2.39, 2 Ce 2.49, 3 Pm 2.56-2.65
N  0.2437  0.7628  0.7628  1 Np 2.39, 2 Ce 2.49, 3 Pm 2.56-2.65
N  0.2546  0.2546  0.2546  3 Ce 2.48, 3 Pm 2.57
N  0.7454  0.7454  0.7454  3 Ce 2.48, 3 Pm 2.57
N  0.7563  0.2372  0.2372  1 Np 2.39, 2 Ce 2.49, 3 Pm 2.56-2.65
N  0.7628  0.2437  0.7628  1 Np 2.39, 2 Ce 2.49, 3 Pm 2.56-2.65
N  0.7628  0.7628  0.2437  1 Np 2.39, 2 Ce 2.49, 3 Pm 2.56-2.65

The calculation puts the volume at 16.056 A^3/atom. For the formation energy from raw total energies, the calculation gives -1.4363 eV/atom. The electronic total energy comes out at -139.3 eV per cell.